(1)
## Ca2BeAu (meta-GGA SCAN)

Data for a crystal of Ca2BeAu relaxed with PBEsol.

```
data_Ca2BeAu
_symmetry_space_group_name_H-M 'I -4 2 d'
_symmetry_Int_Tables_number 122
_symmetry_space_group_name_Hall 'I -4 2bw'
_cell_length_a 7.7807
_cell_length_b 7.7807
_cell_length_c 6.5782
_cell_angle_alpha 90.00
_cell_angle_beta 90.00
_cell_angle_gamma 90.00
loop_
_atom_site_label
_atom_site_type_symbol
_atom_site_fract_x
_atom_site_fract_y
_atom_site_fract_z
Ca1 Ca 0.2492 0.2500 0.1250
Be1 Be 0.0000 0.0000 0.5000
Au1 Au 0.0000 0.0000 0.0000
```

(2)
## CaBeAu2 (meta-GGA SCAN)

Data for a crystal of CaBeAu2 relaxed with PBEsol.

```
data_CaBeAu2
_symmetry_space_group_name_H-M 'I -4 m 2'
_symmetry_Int_Tables_number 119
_symmetry_space_group_name_Hall 'I -4 -2'
_cell_length_a 4.1173
_cell_length_b 4.1173
_cell_length_c 8.2299
_cell_angle_alpha 90.00
_cell_angle_beta 90.00
_cell_angle_gamma 90.00
loop_
_atom_site_label
_atom_site_type_symbol
_atom_site_fract_x
_atom_site_fract_y
_atom_site_fract_z
Ca1 Ca 0.0000 0.0000 0.0000
Be1 Be 0.0000 0.5000 0.7500
Au1 Au 0.0000 0.0000 0.5000
Au2 Au 0.0000 0.5000 0.2500
```

(3)
## Ca2BeAu (meta-GGA SCAN)

Data for a crystal of Ca2BeAu relaxed with PBEsol.

```
data_Ca2BeAu
_symmetry_space_group_name_H-M 'I m m 2'
_symmetry_Int_Tables_number 44
_cell_length_a 3.6534
_cell_length_b 4.9911
_cell_length_c 9.7403
_cell_angle_alpha 90.00
_cell_angle_beta 90.00
_cell_angle_gamma 90.00
loop_
_symmetry_equiv_pos_as_xyz
'x,y,z'
'-x,-y,z'
'-x,y,z'
'x,-y,z'
'x+1/2,y+1/2,z+1/2'
'-x+1/2,-y+1/2,z+1/2'
'-x+1/2,y+1/2,z+1/2'
'x+1/2,-y+1/2,z+1/2'
loop_
_atom_site_label
_atom_site_type_symbol
_atom_site_fract_x
_atom_site_fract_y
_atom_site_fract_z
Ca1 Ca 0.0000 0.0000 0.0000
Ca2 Ca 0.0000 0.5000 0.1998
Be1 Be 0.0000 0.0000 0.4160
Au1 Au 0.0000 0.5000 0.7824
```

(4)
## CaBeAu2 (meta-GGA SCAN)

Data for a crystal of CaBeAu2 relaxed with PBEsol.

```
data_CaBeAu2
_symmetry_space_group_name_H-M 'I -4 2 d'
_symmetry_Int_Tables_number 122
_symmetry_space_group_name_Hall 'I -4 2bw'
_cell_length_a 5.1149
_cell_length_b 5.1149
_cell_length_c 14.7233
_cell_angle_alpha 90.00
_cell_angle_beta 90.00
_cell_angle_gamma 90.00
loop_
_atom_site_label
_atom_site_type_symbol
_atom_site_fract_x
_atom_site_fract_y
_atom_site_fract_z
Ca1 Ca 0.0000 0.0000 0.0000
Be1 Be 0.0000 0.0000 0.5000
Au1 Au 0.0012 0.7500 0.6250
```

(5)
## CaBe2Au2 (meta-GGA SCAN)

Data for a crystal of CaBe2Au2 relaxed with PBEsol.

```
data_CaBe2Au2
_symmetry_space_group_name_H-M 'I 4/m m m'
_symmetry_Int_Tables_number 139
_symmetry_space_group_name_Hall '-I 4 2'
_cell_length_a 3.9357
_cell_length_b 3.9357
_cell_length_c 10.7662
_cell_angle_alpha 90.00
_cell_angle_beta 90.00
_cell_angle_gamma 90.00
loop_
_atom_site_label
_atom_site_type_symbol
_atom_site_fract_x
_atom_site_fract_y
_atom_site_fract_z
Ca1 Ca 0.0000 0.0000 0.0000
Be1 Be 0.0000 0.5000 0.2500
Au1 Au 0.0000 0.0000 0.3684
```

(6)
## CaBeRu2Au (meta-GGA SCAN)

Data for a crystal of CaBeRu2Au relaxed with PBEsol.

```
data_CaBeRu2Au
_symmetry_space_group_name_H-M 'P 4/m m m'
_symmetry_Int_Tables_number 123
_symmetry_space_group_name_Hall '-P 4 2'
_cell_length_a 4.5655
_cell_length_b 4.5655
_cell_length_c 4.9243
_cell_angle_alpha 90.00
_cell_angle_beta 90.00
_cell_angle_gamma 90.00
loop_
_atom_site_label
_atom_site_type_symbol
_atom_site_fract_x
_atom_site_fract_y
_atom_site_fract_z
Ca1 Ca 0.0000 0.0000 0.0000
Be1 Be 0.5000 0.5000 0.5000
Ru1 Ru 0.0000 0.5000 0.0000
Au1 Au 0.0000 0.0000 0.5000
```

(7)
## BeCd4Au (meta-GGA SCAN)

Data for a crystal of BeCd4Au relaxed with PBEsol.

```
data_BeCd4Au
_symmetry_space_group_name_H-M 'F -4 3 m'
_symmetry_Int_Tables_number 216
_symmetry_space_group_name_Hall 'F -4 2 3'
_cell_length_a 7.7377
_cell_length_b 7.7377
_cell_length_c 7.7377
_cell_angle_alpha 90.00
_cell_angle_beta 90.00
_cell_angle_gamma 90.00
loop_
_atom_site_label
_atom_site_type_symbol
_atom_site_fract_x
_atom_site_fract_y
_atom_site_fract_z
Be1 Be 0.0000 0.0000 0.0000
Cd1 Cd 0.1250 0.1250 0.3750
Au1 Au 0.2500 0.2500 0.7500
```

(8)
## Be2CdAu (meta-GGA SCAN)

Data for a crystal of Be2CdAu relaxed with PBEsol.

```
data_Be2CdAu
_symmetry_space_group_name_H-M 'I -4 2 d'
_symmetry_Int_Tables_number 122
_symmetry_space_group_name_Hall 'I -4 2bw'
_cell_length_a 6.7052
_cell_length_b 6.7052
_cell_length_c 5.4271
_cell_angle_alpha 90.00
_cell_angle_beta 90.00
_cell_angle_gamma 90.00
loop_
_atom_site_label
_atom_site_type_symbol
_atom_site_fract_x
_atom_site_fract_y
_atom_site_fract_z
Be1 Be 0.2121 0.2500 0.1250
Cd1 Cd 0.0000 0.0000 0.5000
Au1 Au 0.0000 0.0000 0.0000
```

(9)
## BeCdAu (meta-GGA SCAN)

Data for a crystal of BeCdAu relaxed with PBEsol.

```
data_BeCdAu
_symmetry_space_group_name_H-M 'P 3 m 1'
_symmetry_Int_Tables_number 156
_cell_length_a 2.9305
_cell_length_b 2.9305
_cell_length_c 6.2672
_cell_angle_alpha 90.00
_cell_angle_beta 90.00
_cell_angle_gamma 120.00
loop_
_symmetry_equiv_pos_as_xyz
'x,y,z'
'-y,x-y,z'
'-x+y,-x,z'
'-y,-x,z'
'-x+y,y,z'
'x,x-y,z'
loop_
_atom_site_label
_atom_site_type_symbol
_atom_site_fract_x
_atom_site_fract_y
_atom_site_fract_z
Be1 Be 0.0000 0.0000 0.0000
Cd1 Cd 0.3333 0.6667 0.6671
Au1 Au 0.6667 0.3333 0.2685
```

(10)
## BeCd2Au (meta-GGA SCAN)

Data for a crystal of BeCd2Au relaxed with PBEsol.

```
data_BeCd2Au
_symmetry_space_group_name_H-M 'I 4/m m m'
_symmetry_Int_Tables_number 139
_symmetry_space_group_name_Hall '-I 4 2'
_cell_length_a 3.9957
_cell_length_b 3.9957
_cell_length_c 8.2036
_cell_angle_alpha 90.00
_cell_angle_beta 90.00
_cell_angle_gamma 90.00
loop_
_atom_site_label
_atom_site_type_symbol
_atom_site_fract_x
_atom_site_fract_y
_atom_site_fract_z
Be1 Be 0.0000 0.0000 0.0000
Cd1 Cd 0.0000 0.5000 0.2500
Au1 Au 0.0000 0.0000 0.5000
```

(11)
## Be2CdAu (meta-GGA SCAN)

Data for a crystal of Be2CdAu relaxed with PBEsol.

```
data_Be2CdAu
_symmetry_space_group_name_H-M 'I m m 2'
_symmetry_Int_Tables_number 44
_cell_length_a 2.9949
_cell_length_b 4.1833
_cell_length_c 8.5489
_cell_angle_alpha 90.00
_cell_angle_beta 90.00
_cell_angle_gamma 90.00
loop_
_symmetry_equiv_pos_as_xyz
'x,y,z'
'-x,-y,z'
'-x,y,z'
'x,-y,z'
'x+1/2,y+1/2,z+1/2'
'-x+1/2,-y+1/2,z+1/2'
'-x+1/2,y+1/2,z+1/2'
'x+1/2,-y+1/2,z+1/2'
loop_
_atom_site_label
_atom_site_type_symbol
_atom_site_fract_x
_atom_site_fract_y
_atom_site_fract_z
Be1 Be 0.0000 0.0000 0.0000
Be2 Be 0.0000 0.5000 0.2769
Cd1 Cd 0.0000 0.5000 0.7696
Au1 Au 0.0000 0.0000 0.5472
```

(12)
## Be2CdCoAu (meta-GGA SCAN)

Data for a crystal of Be2CdCoAu relaxed with PBEsol.

```
data_Be2CdCoAu
_symmetry_space_group_name_H-M 'P 4/m m m'
_symmetry_Int_Tables_number 123
_symmetry_space_group_name_Hall '-P 4 2'
_cell_length_a 4.2514
_cell_length_b 4.2514
_cell_length_c 4.7627
_cell_angle_alpha 90.00
_cell_angle_beta 90.00
_cell_angle_gamma 90.00
loop_
_atom_site_label
_atom_site_type_symbol
_atom_site_fract_x
_atom_site_fract_y
_atom_site_fract_z
Be1 Be 0.0000 0.5000 0.0000
Cd1 Cd 0.0000 0.0000 0.5000
Co1 Co 0.5000 0.5000 0.5000
Au1 Au 0.5000 0.5000 0.0000
```

(13)
## BeAuCl (meta-GGA SCAN)

Data for a crystal of BeAuCl relaxed with PBEsol.

Formation energy (no corrections): 47 kJ/mol of atoms

```
data_BeAuCl
_symmetry_space_group_name_H-M 'F -4 3 m'
_symmetry_Int_Tables_number 216
_symmetry_space_group_name_Hall 'F -4 2 3'
_cell_length_a 6.0363
_cell_length_b 6.0363
_cell_length_c 6.0363
_cell_angle_alpha 90.00
_cell_angle_beta 90.00
_cell_angle_gamma 90.00
loop_
_atom_site_label
_atom_site_type_symbol
_atom_site_fract_x
_atom_site_fract_y
_atom_site_fract_z
Be1 Be 0.0000 0.0000 0.0000
Au1 Au 0.2500 0.2500 0.2500
Cl1 Cl 0.0000 0.0000 0.5000
```

(14)
## BeAu2Cl (meta-GGA SCAN)

Data for a crystal of BeAu2Cl relaxed with PBEsol.

Formation energy (no corrections): 31 kJ/mol of atoms
Polymorph energy (0 for the lowest one): 750 meV per atom

```
data_BeAu2Cl
_symmetry_space_group_name_H-M 'C 1 2/m 1'
_symmetry_Int_Tables_number 12
_cell_length_a 5.3355
_cell_length_b 9.7900
_cell_length_c 3.2436
_cell_angle_alpha 90.00
_cell_angle_beta 126.82
_cell_angle_gamma 90.00
loop_
_symmetry_equiv_pos_as_xyz
'x,y,z'
'-x,-y,-z'
'-x,y,-z'
'x,-y,z'
'x+1/2,y+1/2,z'
'-x+1/2,-y+1/2,-z'
'-x+1/2,y+1/2,-z'
'x+1/2,-y+1/2,z'
loop_
_atom_site_label
_atom_site_type_symbol
_atom_site_fract_x
_atom_site_fract_y
_atom_site_fract_z
Be1 Be 0.0000 0.0000 0.0000
Au1 Au 0.2500 0.2500 0.0000
Cl1 Cl 0.0000 0.5000 0.0000
```

Number 1: magnetic moment 0.00 μB per atom, calculated density 4.77 g cm⁻³, E -23.10 eV/atom. Number 2: magnetic moment 0.00 μB per atom, calculated density 10.55 g cm⁻³, E -38.37 eV/atom. Number 3: magnetic moment 0.00 μB per atom, calculated density 5.35 g cm⁻³, E -23.58 eV/atom. Number 4: magnetic moment 0.00 μB per atom, calculated density 7.64 g cm⁻³, E -38.52 eV/atom. Number 5: magnetic moment 0.00 μB per atom, calculated density 9.00 g cm⁻³, E -31.93 eV/atom. Number 6: magnetic moment 0.64 μB per atom, calculated density 7.25 g cm⁻³, E -28.33 eV/atom. Number 7: magnetic moment 0.00 μB per atom, calculated density 9.40 g cm⁻³, E -32.10 eV/atom. Number 8: magnetic moment 0.00 μB per atom, calculated density 8.91 g cm⁻³, E -26.73 eV/atom. Number 9: magnetic moment 0.00 μB per atom, calculated density 11.34 g cm⁻³, E -34.60 eV/atom. Number 10: magnetic moment 0.00 μB per atom, calculated density 10.92 g cm⁻³, E -33.51 eV/atom. Number 11: magnetic moment 0.00 μB per atom, calculated density 10.15 g cm⁻³, E -27.01 eV/atom. Number 12: magnetic moment 0.40 μB per atom, calculated density 7.45 g cm⁻³, E -24.55 eV/atom. Number 13: magnetic moment 0.00 μB per atom, calculated density 7.29 g cm⁻³, E -26.67 eV/atom. Number 14: magnetic moment 0.00 μB per atom, calculated density 10.74 g cm⁻³, E -37.34 eV/atom.